Entry 1:
Computed, not measured: a geometry-optimized CuRe2Pb structure at the GGA-PBE level of DFT.

Values from the calculation:
Symmetry: R-3m (166)
Relative energy among the computed polymorphs (eV/f.u.): 2.17
Electronic total energy (Ry per atom): -0.5256

abc: 9.214 9.214 9.214
angles: 18.28 18.28 18.28
Element x y z (fractional)
Cu: 0.000 0.000 0.000
Re: 0.259 0.259 0.259
Re: 0.741 0.741 0.741
Pb: 0.500 0.500 0.500

---

Entry 2:
Computed, not measured: a geometry-optimized Nb12IrAu3 structure at the GGA-PBE level of DFT.

Values from the calculation:
Symmetry: Pmmm (47)
Electronic total energy (Ry per atom): -0.6540

abc: 5.237 5.240 10.439
angles: 90.00 90.00 90.00
Element x y z (fractional)
Nb: 0.000 0.000 0.121
Nb: 0.000 0.000 0.374
Nb: 0.000 0.000 0.626
Nb: 0.000 0.000 0.879
Nb: 0.250 0.500 0.500
Nb: 0.255 0.500 0.000
Nb: 0.500 0.247 0.246
Nb: 0.500 0.247 0.754
Nb: 0.500 0.753 0.246
Nb: 0.500 0.753 0.754
Nb: 0.745 0.500 0.000
Nb: 0.750 0.500 0.500
Ir: 0.500 0.000 0.000
Au: 0.000 0.500 0.249
Au: 0.000 0.500 0.751
Au: 0.500 0.000 0.500

---

Entry 3:
Computed, not measured: a geometry-optimized Ba6RhAu2Br3 structure at the GGA-PBE level of DFT.

Values from the calculation:
Symmetry: C2/m (12)
Formation energy from raw total energies (eV/atom): -1.124
Electronic total energy (Ry per atom): -0.2692

abc: 8.026 8.026 8.811
angles: 98.74 98.74 120.01
Element x y z (fractional)
Ba: 0.073 0.386 0.218
Ba: 0.241 0.241 0.783
Ba: 0.386 0.073 0.218
Ba: 0.614 0.927 0.782
Ba: 0.759 0.759 0.217
Ba: 0.927 0.614 0.782
Rh: 0.000 0.000 0.000
Au: 0.333 0.667 0.000
Au: 0.667 0.333 0.000
Br: 0.166 0.834 0.500
Br: 0.500 0.500 0.500
Br: 0.834 0.166 0.500

---

Entry 4:
Computed, not measured: a geometry-optimized Ga5CoRh6 structure at the GGA-PBE level of DFT.

Values from the calculation:
Symmetry: Immm (71)
Electronic total energy (Ry per atom): -0.4483

abc: 7.405 7.405 7.405
angles: 146.61 131.65 60.03
Element x y z (fractional)
Ga: 0.000 0.000 0.000
Ga: 0.168 0.668 0.500
Ga: 0.341 0.341 0.000
Ga: 0.659 0.659 0.000
Ga: 0.832 0.332 0.500
Co: 0.500 0.000 0.500
Rh: 0.079 0.832 0.248
Rh: 0.244 0.500 0.744
Rh: 0.416 0.168 0.248
Rh: 0.584 0.832 0.752
Rh: 0.756 0.500 0.256
Rh: 0.921 0.168 0.752

---

Record-wise D(E_F) values, in states/eV/atom: 1.247, 1.217, 0.773, 0.694
Record-wise V values, in A^3/atom: 16.80, 17.90, 39.02, 13.79